Below is an optimized crystal structure of TlVRhCl6, with properties calculated at the PBE level.

Cell lengths 6.2956, 6.2956, 7.2159 Å; angles 90.00, 90.00, 120.00 degrees
With the nearest neighbours (Å) after each atom.
Positions (direct):
Tl 0.0000 0.0000 0.0000  6 Cl 3.22
V 0.3333 0.6667 0.5000  6 Cl 2.44
Rh 0.6667 0.3333 0.5000  6 Cl 2.41
Cl 0.3647 0.0036 0.6865  1 Rh 2.41, 1 V 2.44
Cl 0.3647 0.3611 0.3135  1 Rh 2.41, 1 V 2.44
Cl 0.6389 0.0036 0.3135  1 Rh 2.41, 1 V 2.44
Cl 0.6389 0.6353 0.6865  1 Rh 2.41, 1 V 2.44
Cl 0.9964 0.3611 0.6865  1 Rh 2.41, 1 V 2.44
Cl 0.9964 0.6353 0.3135  1 Rh 2.41, 1 V 2.44

## Properties
- energy relative to the elements, uncorrected (kJ/mol of atoms) = -87.5
- DOS(E_F) (states/eV per cell) = 2.71
- SG = No. 149
- calculated total energy (Ry/atom) = -0.311